A plane-wave DFT calculation with PBE-GGA was carried out for crystalline CsUAgSe3 at its relaxed geometry.

Computed properties:
The value obtained for the magnetic moment is 0.333 μB per atom. For the total energy, the calculation gives -5.28 eV/atom. For the formation energy from raw total energies, the calculation gives -1044 meV per atom.

Lattice parameters (Å, degrees): 8.3256 8.3256 10.9200 90.00 90.00 150.20
Site moments in Bohr magnetons follow the coordinates.
Atoms (fractional coordinates):
Se: 0.0586 0.9414 0.2500  -0.06
Se: 0.6168 0.3832 0.5381  -0.06
Se: 0.6168 0.3832 0.9619  -0.06
Se: 0.3832 0.6168 0.0381  -0.06
Se: 0.3832 0.6168 0.4619  -0.06
Se: 0.9414 0.0586 0.7500  -0.06
U: 0.0000 0.0000 0.0000  2.15
U: 0.0000 0.0000 0.5000  2.15
Cs: 0.7446 0.2554 0.2500  0.00
Cs: 0.2554 0.7446 0.7500  0.00
Ag: 0.5412 0.4588 0.7500  -0.02
Ag: 0.4588 0.5412 0.2500  -0.02